# 1
ScCoPt | Alexandria | PBE | relaxed; E_form = -0.03 eV per atom
1.0
-0.853 3.301 -2.541
-1.942 -0.634 -3.729
-4.018 1.278 -0.549
Pt Co Sc
1 1 1
Direct
0.500 0.500 0.500
0.000 0.000 0.000
0.250 0.250 0.250

# 2
NaSn2GeTe4 | Alexandria | PBE | relaxed; formation energy without anion corrections = -2.6 eV per formula unit
1.0
-2.111 2.346 2.977
-5.931 -4.973 -0.287
4.912 -2.357 5.343
Te Ge Sn Na
4 1 2 1
Direct
0.000 0.762 0.249
0.500 0.236 0.240
0.000 0.238 0.751
0.500 0.764 0.760
0.000 0.000 0.000
0.500 0.000 0.500
0.000 0.500 0.500
0.500 0.500 0.000

# 3
Ca2CdHg2 | Alexandria | PBE | relaxed; E above lowest polymorph = 0.96 eV/f.u.; E_form = -0.25 eV per atom
1.0
6.031 0.000 0.000
0.000 6.031 0.000
3.015 3.015 4.284
Hg Cd Ca
2 1 2
Direct
0.661 0.661 0.679
0.339 0.339 0.321
0.000 0.000 0.000
0.750 0.250 0.500
0.250 0.750 0.500

# 4
LiTeOs2 | Alexandria | PBE | relaxed; formation energy without anion corrections = 3.7 eV per formula unit
1.0
-0.789 -4.315 -7.384
1.925 -5.309 -6.472
-0.599 -6.626 -5.432
Os Te Li
2 1 1
Direct
0.997 0.997 0.997
0.503 0.503 0.503
0.250 0.250 0.250
0.750 0.750 0.750

# 5
CeAsP | Alexandria | PBE | relaxed; E above lowest polymorph = 0.60 eV/f.u.; E_form = -0.82 eV per atom
1.0
3.827 0.000 0.000
0.000 4.344 0.000
0.000 -2.172 3.762
As Ce P
1 1 1
Direct
0.500 0.667 0.333
0.000 0.000 0.000
0.500 0.333 0.667

# 6
KTlCu2S2 | Alexandria | PBE | relaxed; formation energy without anion corrections = -3.1 eV per formula unit
1.0
5.067 0.000 0.000
0.000 7.236 -0.641
0.000 -3.263 9.352
Tl K S Cu
2 2 4 4
Direct
0.250 0.224 0.938
0.750 0.776 0.062
0.250 0.730 0.434
0.750 0.270 0.566
0.750 0.473 0.216
0.250 0.527 0.784
0.750 0.959 0.712
0.250 0.041 0.288
0.500 0.755 0.763
0.500 0.245 0.237
0.000 0.245 0.237
0.000 0.755 0.763

# 7
SnHg2Au2 | Alexandria | PBE | relaxed; E above lowest polymorph = 0.39 eV/f.u.; E_form = 0.06 eV per atom
1.0
4.087 0.000 0.000
0.000 4.087 0.000
2.043 2.043 7.006
Sn Au Hg
1 2 2
Direct
0.000 0.000 0.000
0.404 0.404 0.193
0.596 0.596 0.807
0.750 0.250 0.500
0.250 0.750 0.500

# 8
AgSbSCl | Alexandria | PBE | relaxed; formation energy without anion corrections = -0.8 eV per formula unit
1.0
-2.878 2.828 -3.403
-0.934 -2.011 3.212
-0.574 4.762 4.444
Cl S Ag Sb
1 1 1 1
Direct
0.430 0.860 0.610
0.081 0.162 0.173
0.945 0.891 0.595
0.710 0.419 0.039

# 9
BaIn2BiPt | Alexandria | PBE | relaxed; E_form = -0.45 eV per atom
1.0
5.232 0.000 0.000
0.000 5.232 0.000
0.000 0.000 6.065
Pt Ba In Bi
1 1 2 1
Direct
0.000 0.000 0.000
0.000 0.000 0.500
0.500 0.000 0.000
0.000 0.500 0.000
0.500 0.500 0.500